Below is MnCrMoO6 after structural relaxation, with properties calculated at the PBE+U level.

Results
Magnetic moment: 14.00 μB per cell
Total DFT energy (no corrections): -132.2 eV/cell

Cell: 5.0661 5.0661 9.0417 Å, 90.00 90.00 120.00°
Each line ends with the local moment (μB).
Fractional positions:
1 Mn 0.0000 0.0000 0.0000  4.31
2 Mn 0.0000 0.0000 0.5000  4.31
3 Cr 0.3333 0.6667 0.2500  2.79
4 Cr 0.6667 0.3333 0.7500  2.79
5 Mo 0.6667 0.3333 0.2500  0.27
6 Mo 0.3333 0.6667 0.7500  0.27
7 O 0.6542 0.6481 0.1320  -0.09
8 O 0.9939 0.3458 0.1320  -0.09
9 O 0.3458 0.9939 0.6320  -0.09
10 O 0.0061 0.6542 0.8680  -0.09
11 O 0.3519 0.3458 0.3680  -0.09
12 O 0.9939 0.6481 0.3680  -0.09
13 O 0.6481 0.9939 0.8680  -0.09
14 O 0.6542 0.0061 0.3680  -0.09
15 O 0.0061 0.3519 0.6320  -0.09
16 O 0.3519 0.0061 0.1320  -0.09
17 O 0.6481 0.6542 0.6320  -0.09
18 O 0.3458 0.3519 0.8680  -0.09